one:
Compound: LiTeOsN2
Source: Alexandria via LeMat-Bulk
Functional: PBE
Structure: optimized geometry

```
data_LiTeOsN2
_chemical_formula_sum 'Li1 Te1 Os1 N2'
_cell_length_a 3.815
_cell_length_b 3.815
_cell_length_c 5.825
_cell_angle_alpha 90.00
_cell_angle_beta 90.00
_cell_angle_gamma 90.00
_space_group_name_H-M_alt 'P 4/m m m'
_space_group_IT_number 123
_space_group_name_Hall '-P 4 2'
loop_
_atom_site_label
_atom_site_fract_x
_atom_site_fract_y
_atom_site_fract_z
Li1 0.000 0.000 0.000
Te1 0.500 0.500 0.000
Os1 0.500 0.500 0.500
N1 0.000 0.500 0.500
```

Summary:
- M_tot: 0.25 μB per formula unit

=====

two:
Compound: LiTeOsN2
Source: Alexandria via LeMat-Bulk
Functional: PBE
Structure: optimized geometry

```
data_LiTeOsN2
_chemical_formula_sum 'Li1 Te1 Os1 N2'
_cell_length_a 3.785
_cell_length_b 3.785
_cell_length_c 4.718
_cell_angle_alpha 90.00
_cell_angle_beta 90.00
_cell_angle_gamma 90.00
_space_group_name_H-M_alt 'P 4/m m m'
_space_group_IT_number 123
_space_group_name_Hall '-P 4 2'
loop_
_atom_site_label
_atom_site_fract_x
_atom_site_fract_y
_atom_site_fract_z
Li1 0.000 0.000 0.000
Te1 0.000 0.000 0.500
Os1 0.500 0.500 0.500
N1 0.000 0.500 0.000
```

Summary:
- M_tot: 0.00 μB per formula unit

=====

Which is the most stable structure? one is the most stable.

=====

one:
Compound: Li3PN
Source: Alexandria via LeMat-Bulk
Functional: PBE
Structure: optimized geometry

```
data_Li3PN
_chemical_formula_sum 'Li3 P1 N1'
_cell_length_a 4.690
_cell_length_b 4.690
_cell_length_c 4.690
_cell_angle_alpha 90.00
_cell_angle_beta 90.00
_cell_angle_gamma 90.00
_space_group_name_H-M_alt 'P m -3 m'
_space_group_IT_number 221
_space_group_name_Hall '-P 4 2 3'
loop_
_atom_site_label
_atom_site_fract_x
_atom_site_fract_y
_atom_site_fract_z
Li1 0.000 0.000 0.500
P1 0.000 0.000 0.000
N1 0.500 0.500 0.500
```

Summary:
- M_tot: 3.00 μB per formula unit

=====

two:
Compound: Li3PN
Source: Alexandria via LeMat-Bulk
Functional: PBE
Structure: optimized geometry

```
data_Li3PN
_chemical_formula_sum 'Li3 P1 N1'
_cell_length_a 3.906
_cell_length_b 3.906
_cell_length_c 3.906
_cell_angle_alpha 90.00
_cell_angle_beta 90.00
_cell_angle_gamma 90.00
_space_group_name_H-M_alt 'P m -3 m'
_space_group_IT_number 221
_space_group_name_Hall '-P 4 2 3'
loop_
_atom_site_label
_atom_site_fract_x
_atom_site_fract_y
_atom_site_fract_z
Li1 0.000 0.000 0.500
P1 0.500 0.500 0.500
N1 0.000 0.000 0.000
```

Summary:
- M_tot: 0.00 μB per formula unit

=====

Which is the most stable structure? two is the most stable.

=====

one:
Compound: LiPS2N
Source: Alexandria via LeMat-Bulk
Functional: PBE
Structure: optimized geometry

```
data_LiPS2N
_chemical_formula_sum 'Li1 P1 S2 N1'
_cell_length_a 4.816
_cell_length_b 4.816
_cell_length_c 3.178
_cell_angle_alpha 90.00
_cell_angle_beta 90.00
_cell_angle_gamma 90.00
_space_group_name_H-M_alt 'P 4/m m m'
_space_group_IT_number 123
_space_group_name_Hall '-P 4 2'
loop_
_atom_site_label
_atom_site_fract_x
_atom_site_fract_y
_atom_site_fract_z
Li1 0.000 0.000 0.000
P1 0.500 0.500 0.500
S1 0.000 0.500 0.500
N1 0.500 0.500 0.000
```

Summary:
- M_tot: 0.00 μB per formula unit

=====

two:
Compound: LiPS2N
Source: Alexandria via LeMat-Bulk
Functional: PBE
Structure: optimized geometry

```
data_LiPS2N
_chemical_formula_sum 'Li1 P1 S2 N1'
_cell_length_a 4.279
_cell_length_b 4.279
_cell_length_c 4.659
_cell_angle_alpha 90.00
_cell_angle_beta 90.00
_cell_angle_gamma 90.00
_space_group_name_H-M_alt 'P 4/m m m'
_space_group_IT_number 123
_space_group_name_Hall '-P 4 2'
loop_
_atom_site_label
_atom_site_fract_x
_atom_site_fract_y
_atom_site_fract_z
Li1 0.000 0.000 0.000
P1 0.000 0.000 0.500
S1 0.000 0.500 0.000
N1 0.500 0.500 0.500
```

Summary:
- M_tot: 2.28 μB per formula unit

=====

Which is the most stable structure? one is the most stable.